This record from Alexandria via LeMat-Bulk describes a relaxed InMoBr2 crystal. The functional is PBE-GGA.

Unit cell a=10.703 b=3.302 c=7.548 alpha=90.00 beta=112.60 gamma=90.00
Element x y z (fractional)
1 In 0.000 0.000 0.000
2 In 0.500 0.500 0.000
3 Mo 0.228 0.500 0.999
4 Mo 0.728 0.000 0.999
5 Br 0.178 0.000 0.711
6 Br 0.335 0.000 0.288
7 Br 0.678 0.500 0.711
8 Br 0.835 0.500 0.288

Results
**Raw formation energy**: -0.1 eV/f.u.
**M_tot**: 1.70 μB per formula unit
**Distance to the lowest polymorph of the same formula**: 0.24 eV per formula unit